# Ca2FeMoC

A relaxed structure of Ca2FeMoC (PBE-GGA, Alexandria via LeMat-Bulk).

Magnetization (μB per formula unit): 1.127
Energy (eV per atom): -5.674
DOS at the Fermi energy (states/eV/cell): 11.0
Space-group type: P4/mmm, No. 123
Energy of formation from the pure elements (eV per atom): 0.830

Unit cell a=4.915 b=4.072 c=4.915 alpha=90.00 beta=90.00 gamma=90.00
Last column: magnetic moment on the atom in μB.
Fractional coordinates of all 5 atoms:
C: 0.000 0.000 0.000  -0.08
Mo: 0.000 0.500 0.000  0.93
Ca: 0.000 0.000 0.500  0.00
Ca: 0.500 0.000 0.000  0.01
Fe: 0.500 0.500 0.500  0.08